TlAgS (SCAN, single point on PBEsol structure); crystal system = orthorhombic; formation energy without anion corrections = -0.2424 eV per atom
1.0
8.698 0.000 0.000
0.000 4.336 0.000
0.000 0.000 7.117
Tl Ag S
4 4 4
direct
0.000 0.250 0.212 Tl
0.000 0.750 0.788 Tl
0.500 0.250 0.288 Tl
0.500 0.750 0.712 Tl
0.222 0.250 0.578 Ag
0.278 0.750 0.078 Ag
0.722 0.250 0.922 Ag
0.778 0.750 0.422 Ag
0.197 0.750 0.411 S
0.303 0.250 0.911 S
0.697 0.750 0.089 S
0.803 0.250 0.589 S

***

BaSeO2F (SCAN, single point on PBEsol structure); crystal system = tetragonal; formation energy without anion corrections = -0.5656 eV per atom
1.0
5.007 0.000 0.000
0.000 5.007 0.000
0.000 0.000 4.912
Ba Se O F
1 1 2 1
direct
0.000 0.000 0.000 Ba
0.500 0.500 0.500 Se
0.000 0.500 0.000 O
0.500 0.000 0.000 O
0.000 0.000 0.500 F

***

Na2ReAu (SCAN, single point on PBEsol structure); crystal system = cubic; energy relative to the elements = 1.138 eV per atom
1.0
0.000 3.351 3.351
3.351 0.000 3.351
3.351 3.351 0.000
Na Re Au
2 1 1
direct
0.250 0.250 0.250 Na
0.750 0.750 0.750 Na
0.000 0.000 0.000 Re
0.500 0.500 0.500 Au

***

Li4Ti2Mn3Cu3O16 (SCAN, single point on PBEsol structure); crystal system = triclinic; formation energy without anion corrections = -2.0915 eV per atom
1.0
5.699 0.000 0.000
2.848 5.053 0.000
0.002 0.243 9.305
Li Ti Mn Cu O
4 2 3 3 16
direct
0.000 0.000 0.000 Li
0.007 0.987 0.507 Li
0.336 0.327 0.404 Li
0.662 0.675 0.900 Li
0.341 0.319 0.997 Ti
0.675 0.649 0.506 Ti
0.176 0.647 0.726 Mn
0.343 0.821 0.222 Mn
0.835 0.821 0.222 Mn
0.172 0.162 0.721 Cu
0.666 0.162 0.721 Cu
0.833 0.333 0.221 Cu
0.013 0.973 0.316 O
0.014 0.971 0.811 O
0.035 0.495 0.852 O
0.165 0.670 0.111 O
0.177 0.150 0.106 O
0.327 0.346 0.618 O
0.345 0.801 0.602 O
0.468 0.496 0.853 O
0.478 0.043 0.855 O
0.511 0.525 0.342 O
0.522 0.955 0.339 O
0.657 0.685 0.114 O
0.673 0.150 0.106 O
0.841 0.318 0.595 O
0.854 0.800 0.602 O
0.963 0.525 0.342 O

***

Li2NiO2F (SCAN, single point on PBEsol structure); crystal system = monoclinic; formation energy without anion corrections = -2.0648 eV per atom
1.0
2.478 -4.290 0.000
2.478 4.290 0.000
-1.513 0.000 9.310
Li Ni O F
8 4 8 4
direct
0.000 0.000 0.000 Li
0.072 0.437 0.244 Li
0.238 0.242 0.759 Li
0.395 0.084 0.246 Li
0.563 0.928 0.756 Li
0.655 0.345 0.000 Li
0.758 0.762 0.241 Li
0.916 0.605 0.754 Li
0.158 0.842 0.500 Ni
0.307 0.693 0.000 Ni
0.491 0.509 0.500 Ni
0.825 0.175 0.500 Ni
0.046 0.721 0.122 O
0.126 0.156 0.390 O
0.189 0.526 0.608 O
0.279 0.954 0.878 O
0.474 0.811 0.392 O
0.538 0.225 0.610 O
0.775 0.462 0.390 O
0.844 0.874 0.610 O
0.369 0.405 0.124 F
0.595 0.631 0.876 F
0.704 0.055 0.127 F
0.945 0.296 0.873 F

***

AlMoIr2 (SCAN, single point on PBEsol structure); crystal system = tetragonal; energy relative to the elements = -0.803 eV per atom
1.0
2.818 0.000 0.000
0.000 2.818 0.000
0.000 0.000 7.030
Al Mo Ir
1 1 2
direct
0.000 0.000 0.000 Al
0.000 0.000 0.500 Mo
0.500 0.500 0.235 Ir
0.500 0.500 0.765 Ir

***

Er3O2F5 (SCAN, single point on PBEsol structure); crystal system = orthorhombic; formation energy without anion corrections = -4.3608 eV per atom
1.0
5.527 0.000 0.000
0.000 16.854 0.000
0.000 0.000 5.279
Er O F
12 8 20
direct
0.174 0.097 0.038 Er
0.174 0.403 0.038 Er
0.238 0.250 0.458 Er
0.262 0.750 0.958 Er
0.326 0.597 0.538 Er
0.326 0.903 0.538 Er
0.674 0.097 0.462 Er
0.674 0.403 0.462 Er
0.738 0.250 0.042 Er
0.762 0.750 0.542 Er
0.826 0.597 0.962 Er
0.826 0.903 0.962 Er
0.038 0.668 0.703 O
0.038 0.832 0.703 O
0.462 0.168 0.203 O
0.462 0.332 0.203 O
0.538 0.668 0.797 O
0.538 0.832 0.797 O
0.962 0.168 0.297 O
0.962 0.332 0.297 O
0.114 0.250 0.862 F
0.115 0.514 0.784 F
0.115 0.986 0.784 F
0.166 0.626 0.172 F
0.166 0.874 0.172 F
0.334 0.126 0.672 F
0.334 0.374 0.672 F
0.385 0.014 0.284 F
0.385 0.486 0.284 F
0.386 0.750 0.362 F
0.614 0.250 0.638 F
0.615 0.514 0.716 F
0.615 0.986 0.716 F
0.666 0.626 0.328 F
0.666 0.874 0.328 F
0.834 0.126 0.828 F
0.834 0.374 0.828 F
0.885 0.014 0.216 F
0.885 0.486 0.216 F
0.886 0.750 0.138 F

***

KCuTc2 (SCAN, single point on PBEsol structure); crystal system = orthorhombic; energy relative to the elements = 1.205 eV per atom
1.0
2.608 -5.069 0.000
2.608 5.069 0.000
0.000 0.000 2.467
K Cu Tc
1 1 2
direct
0.000 0.000 0.000 K
0.500 0.500 0.000 Cu
0.000 0.500 0.500 Tc
0.500 0.000 0.500 Tc

***

In2Ag3SbSe6 (SCAN, single point on PBEsol structure); crystal system = trigonal; formation energy without anion corrections = -0.3225 eV per atom
1.0
3.968 0.000 0.000
-1.984 3.436 0.000
0.000 0.000 19.304
In Ag Sb Se
2 3 1 6
direct
0.333 0.667 0.165 In
0.667 0.333 0.835 In
0.000 0.000 0.000 Ag
0.333 0.667 0.671 Ag
0.667 0.333 0.329 Ag
0.000 0.000 0.500 Sb
0.000 0.000 0.250 Se
0.000 0.000 0.750 Se
0.333 0.667 0.411 Se
0.333 0.667 0.917 Se
0.667 0.333 0.083 Se
0.667 0.333 0.589 Se

***

MgMo2W (SCAN, single point on PBEsol structure); crystal system = monoclinic; energy relative to the elements = 0.444 eV per atom
1.0
5.191 0.000 0.000
0.000 2.637 0.000
-2.379 0.000 4.661
Mg Mo W
1 2 1
direct
0.000 0.000 0.000 Mg
0.500 0.000 0.500 Mo
0.500 0.500 0.000 Mo
0.000 0.500 0.500 W

***

TlFeN2 (SCAN, single point on PBEsol structure); crystal system = trigonal; formation energy without anion corrections = 1.1174 eV per atom
1.0
1.684 0.972 5.991
-1.684 0.972 5.991
0.000 -1.945 5.991
Tl Fe N
1 1 2
direct
0.000 0.000 0.000 Tl
0.500 0.500 0.500 Fe
0.404 0.404 0.404 N
0.596 0.596 0.596 N

***

P4WO12 (SCAN, single point on PBEsol structure); crystal system = monoclinic; formation energy without anion corrections = -2.1552 eV per atom
1.0
8.650 -6.327 0.000
8.650 6.327 0.000
-1.253 0.000 5.153
P W O
8 2 24
direct
0.143 0.700 0.830 P
0.192 0.431 0.539 P
0.300 0.857 0.170 P
0.431 0.192 0.539 P
0.569 0.808 0.461 P
0.700 0.143 0.830 P
0.808 0.569 0.461 P
0.857 0.300 0.170 P
0.000 0.500 0.000 W
0.500 0.000 0.000 W
0.058 0.805 0.688 O
0.084 0.641 0.010 O
0.097 0.406 0.686 O
0.157 0.410 0.245 O
0.195 0.942 0.312 O
0.218 0.569 0.636 O
0.277 0.723 0.000 O
0.336 0.336 0.607 O
0.359 0.916 0.990 O
0.406 0.097 0.686 O
0.410 0.157 0.245 O
0.431 0.782 0.364 O
0.569 0.218 0.636 O
0.590 0.843 0.755 O
0.594 0.903 0.314 O
0.641 0.084 0.010 O
0.664 0.664 0.393 O
0.723 0.277 0.000 O
0.782 0.431 0.364 O
0.805 0.058 0.688 O
0.843 0.590 0.755 O
0.903 0.594 0.314 O
0.916 0.359 0.990 O
0.942 0.195 0.312 O